1.
# PBE Sm4Dy9Ho11, optimized geometry
data_Sm4Dy9Ho11
_chemical_formula_sum 'Sm8 Dy18 Ho22'
_cell_length_a 20.4093
_cell_length_b 21.1250
_cell_length_c 3.5234
_cell_angle_alpha 90.00
_cell_angle_beta 90.00
_cell_angle_gamma 90.00
_space_group_name_H-M_alt 'C m m m'
_space_group_IT_number 65
_space_group_name_Hall '-C 2 2'
loop_
_atom_site_label
_atom_site_fract_x
_atom_site_fract_y
_atom_site_fract_z
Sm1 0.1351 0.0860 0.0000
Dy1 0.0000 0.0000 0.0000
Dy2 0.1216 0.4154 0.0000
Dy3 0.1235 0.2476 0.0000
Ho1 0.0000 0.1584 0.5000
Ho2 0.0000 0.3310 0.5000
Ho3 0.0000 0.5000 0.5000
Ho4 0.2423 0.5000 0.5000
Ho5 0.2467 0.3316 0.5000
# formation energy from the elements	0.053	eV/atom
# D(E_F)	1.409	states/eV per atom
# M_tot	0.000	μB per atom
# crystal system	orthorhombic



2.
# PBE Sm2Dy5Ho4, optimized geometry
data_Sm2Dy5Ho4
_chemical_formula_sum 'Sm4 Dy10 Ho8'
_cell_length_a 3.4871
_cell_length_b 9.0044
_cell_length_c 23.1657
_cell_angle_alpha 90.00
_cell_angle_beta 90.00
_cell_angle_gamma 90.00
_space_group_name_H-M_alt 'I m m m'
_space_group_IT_number 71
_space_group_name_Hall '-I 2 2'
loop_
_atom_site_label
_atom_site_fract_x
_atom_site_fract_y
_atom_site_fract_z
Sm1 0.0000 0.0000 0.2319
Dy1 0.0000 0.1965 0.3571
Dy2 0.0000 0.5000 0.0000
Ho1 0.0000 0.0000 0.0969
Ho2 0.0000 0.3099 0.5000
# formation energy from the elements	0.213	eV/atom
# D(E_F)	1.453	states/eV per atom
# M_tot	0.000	μB per atom
# crystal system	orthorhombic



> What is the formation energy from the elements in the second record?

0.213 eV/atom



> What is the formula in the first record?

Sm4Dy9Ho11



> What is the formation energy from the elements in the first record?

0.053 eV/atom



> What is the M_tot in the first record?

0.000 μB per atom